1.
Ca2Tl3Pb | PBE | optimized geometry

abc: 3.6091 5.6987 8.8645
angles: 90.00 90.00 90.00
Fractional positions:
Ca  0.0000  0.5000  0.0052
Ca  0.0000  0.0000  0.4935
Pb  0.5000  0.5000  0.3313
Tl  0.5000  0.0000  0.8241
Tl  0.5000  0.0000  0.1673
Tl  0.5000  0.5000  0.6785

Summary:
energy above the most stable polymorph in this dataset = 14 meV per atom
magnetization = 0.0 μB per cell
energy = -2.71 eV per atom
E_form = -0.24 eV per atom


2.
CaTl4Pb | PBE | optimized geometry

abc: 5.5779 5.5779 6.6846
angles: 89.93 89.93 60.03
Fractional positions:
Ca  0.0000  0.0000  0.5000
Tl  0.3335  0.3335  0.7184
Tl  0.6669  0.6669  0.7834
Tl  0.6665  0.6665  0.2816
Tl  0.3331  0.3331  0.2166
Pb  0.0000  0.0000  0.0000

Summary:
energy above the most stable polymorph in this dataset = 0 meV per atom
magnetization = 0.0 μB per cell
energy = -2.66 eV per atom
E_form = -0.13 eV per atom